Record 1
DFT (PBE) results for an optimized crystal structure of LiFe3Co.

Its symmetry is Pm-3m. The excess energy over the best structure of this formula in the dataset comes out at 0.000 eV/atom.

Lattice parameters (Å, degrees): 4.383 4.383 4.383 90.00 90.00 90.00
Fractional coordinates of all 5 atoms:
Co1 0.000 0.000 0.000
Fe1 0.000 0.500 0.000
Fe2 0.000 0.000 0.500
Fe3 0.500 0.000 0.000
Li1 0.500 0.500 0.500

Record 2
DFT (PBE) results for an optimized crystal structure of Li2FeCo.

Its symmetry is Fm-3m. The excess energy over the best structure of this formula in the dataset comes out at 0.325 eV/atom.

Lattice parameters (Å, degrees): 4.048 4.048 4.048 60.00 60.00 60.00
Fractional coordinates of all 4 atoms:
Co1 0.500 0.500 0.500
Fe1 0.000 0.000 0.000
Li1 0.250 0.250 0.250
Li2 0.750 0.750 0.750

Record 3
DFT (PBE) results for an optimized crystal structure of Li2FeCo.

Its symmetry is P4/mmm. The excess energy over the best structure of this formula in the dataset comes out at 0.315 eV/atom.

Lattice parameters (Å, degrees): 4.421 4.421 2.472 90.00 90.00 90.00
Fractional coordinates of all 4 atoms:
Co1 0.500 0.000 0.500
Fe1 0.000 0.500 0.500
Li1 0.000 0.000 0.000
Li2 0.500 0.500 0.000

Record 4
DFT (PBE) results for an optimized crystal structure of LiFeCo2.

Its symmetry is P4/mmm. The excess energy over the best structure of this formula in the dataset comes out at 0.098 eV/atom.

Lattice parameters (Å, degrees): 2.462 2.462 7.765 90.00 90.00 90.00
Fractional coordinates of all 4 atoms:
Co1 0.000 0.000 0.764
Co2 0.000 0.000 0.236
Fe1 0.500 0.500 0.000
Li1 0.500 0.500 0.500

Record 5
DFT (PBE) results for an optimized crystal structure of LiFeCo2.

Its symmetry is I-42d. The excess energy over the best structure of this formula in the dataset comes out at 0.424 eV/atom.

Lattice parameters (Å, degrees): 6.364 6.364 5.115 51.53 51.53 90.00
Fractional coordinates of all 8 atoms:
Co1 0.634 0.125 0.250
Co2 0.116 0.625 0.250
Co3 0.375 0.366 0.750
Co4 0.875 0.884 0.750
Fe1 0.000 0.000 0.000
Fe2 0.750 0.250 0.500
Li1 0.500 0.500 0.000
Li2 0.250 0.750 0.500

Record 6
DFT (PBE) results for an optimized crystal structure of LiFeCo2.

Its symmetry is R-3m. The excess energy over the best structure of this formula in the dataset comes out at 0.014 eV/atom.

Lattice parameters (Å, degrees): 8.688 8.688 8.688 16.52 16.52 16.52
Fractional coordinates of all 4 atoms:
Co1 0.997 0.997 0.997
Co2 0.503 0.503 0.503
Fe1 0.250 0.250 0.250
Li1 0.750 0.750 0.750

Record 7
DFT (PBE) results for an optimized crystal structure of Li2FeCo.

Its symmetry is Pmm2. The excess energy over the best structure of this formula in the dataset comes out at 0.033 eV/atom.

Lattice parameters (Å, degrees): 2.409 3.914 5.317 90.00 90.00 90.00
Fractional coordinates of all 4 atoms:
Co1 0.000 0.000 0.530
Fe1 0.500 0.500 0.718
Li1 0.000 0.000 0.001
Li2 0.500 0.500 0.252

Record 8
DFT (PBE) results for an optimized crystal structure of LiFeCo3.

Its symmetry is Pm-3m. The excess energy over the best structure of this formula in the dataset comes out at 0.000 eV/atom.

Lattice parameters (Å, degrees): 4.334 4.334 4.334 90.00 90.00 90.00
Fractional coordinates of all 5 atoms:
Co1 0.000 0.500 0.000
Co2 0.000 0.000 0.500
Co3 0.500 0.000 0.000
Fe1 0.000 0.000 0.000
Li1 0.500 0.500 0.500

Record 9
DFT (PBE) results for an optimized crystal structure of Li2FeCo.

Its symmetry is Imm2. The excess energy over the best structure of this formula in the dataset comes out at 0.155 eV/atom.

Lattice parameters (Å, degrees): 4.793 4.793 4.793 145.40 126.24 65.52
Fractional coordinates of all 4 atoms:
Co1 0.489 0.489 0.000
Fe1 0.267 0.767 0.500
Li1 0.998 0.998 0.000
Li2 0.747 0.247 0.500

Record 10
DFT (PBE) results for an optimized crystal structure of Li2FeCo.

Its symmetry is P4/mmm. The excess energy over the best structure of this formula in the dataset comes out at 0.093 eV/atom.

Lattice parameters (Å, degrees): 4.273 3.377 3.377 90.00 90.00 90.00
Fractional coordinates of all 4 atoms:
Co1 0.500 0.500 0.000
Fe1 0.500 0.000 0.500
Li1 0.000 0.000 0.000
Li2 0.000 0.500 0.500

Record 11
DFT (PBE) results for an optimized crystal structure of LiFeCo2.

Its symmetry is Imm2. The excess energy over the best structure of this formula in the dataset comes out at 0.049 eV/atom.

Lattice parameters (Å, degrees): 4.763 4.763 4.047 64.90 64.90 33.58
Fractional coordinates of all 4 atoms:
Co1 0.990 0.990 0.010
Co2 0.253 0.253 0.247
Fe1 0.511 0.511 0.489
Li1 0.746 0.746 0.754

Record 12
DFT (PBE) results for an optimized crystal structure of LiFeCo2.

Its symmetry is Pmm2. The excess energy over the best structure of this formula in the dataset comes out at 0.069 eV/atom.

Lattice parameters (Å, degrees): 2.436 3.766 4.931 90.00 90.00 90.00
Fractional coordinates of all 4 atoms:
Co1 0.000 0.000 0.007
Co2 0.500 0.500 0.244
Fe1 0.000 0.000 0.497
Li1 0.500 0.500 0.753

Record 13
DFT (PBE) results for an optimized crystal structure of Li2FeCo.

Its symmetry is Immm. The excess energy over the best structure of this formula in the dataset comes out at 0.037 eV/atom.

Lattice parameters (Å, degrees): 5.072 5.072 5.072 149.71 132.52 57.36
Fractional coordinates of all 4 atoms:
Co1 0.750 0.250 0.500
Fe1 0.250 0.750 0.500
Li1 0.994 0.994 0.000
Li2 0.506 0.506 0.000

Record 14
DFT (PBE) results for an optimized crystal structure of Li2FeCo.

Its symmetry is Cmm2. The excess energy over the best structure of this formula in the dataset comes out at 0.000 eV/atom.

Lattice parameters (Å, degrees): 2.515 2.515 8.826 90.00 90.00 110.94
Fractional coordinates of all 4 atoms:
Co1 0.000 0.000 0.514
Fe1 0.500 0.500 0.731
Li1 0.000 0.000 0.981
Li2 0.500 0.500 0.274

Record 15
DFT (PBE) results for an optimized crystal structure of LiFe2Co2.

Its symmetry is P4/mbm. The excess energy over the best structure of this formula in the dataset comes out at 0.005 eV/atom.

Lattice parameters (Å, degrees): 6.960 6.960 2.574 90.00 90.00 90.00
Fractional coordinates of all 10 atoms:
Co1 0.151 0.651 0.500
Co2 0.651 0.849 0.500
Co3 0.849 0.349 0.500
Co4 0.349 0.151 0.500
Fe1 0.355 0.855 0.000
Fe2 0.855 0.645 0.000
Fe3 0.645 0.145 0.000
Fe4 0.145 0.355 0.000
Li1 0.000 0.000 0.000
Li2 0.500 0.500 0.000

Record 16
DFT (PBE) results for an optimized crystal structure of LiFeCo2.

Its symmetry is Cmmm. The excess energy over the best structure of this formula in the dataset comes out at 0.069 eV/atom.

Lattice parameters (Å, degrees): 4.475 4.475 2.426 90.00 90.00 112.02
Fractional coordinates of all 4 atoms:
Co1 0.000 0.000 0.000
Co2 0.500 0.500 0.000
Fe1 0.500 0.000 0.500
Li1 0.000 0.500 0.500

Record 17
DFT (PBE) results for an optimized crystal structure of LiMgFe2Co.

Its symmetry is P4/mmm.

Lattice parameters (Å, degrees): 4.507 4.093 4.507 90.00 90.00 90.00
Fractional coordinates of all 5 atoms:
Mg1 0.000 0.000 0.000
Co1 0.500 0.500 0.500
Fe1 0.000 0.000 0.500
Fe2 0.500 0.000 0.000
Li1 0.000 0.500 0.000

Record 18
DFT (PBE) results for an optimized crystal structure of Li2MgFeCo.

Its symmetry is P4/mmm.

Lattice parameters (Å, degrees): 4.505 4.340 4.505 90.00 90.00 90.00
Fractional coordinates of all 5 atoms:
Mg1 0.500 0.500 0.500
Co1 0.000 0.000 0.000
Fe1 0.000 0.500 0.000
Li1 0.000 0.000 0.500
Li2 0.500 0.000 0.000

Record 19
DFT (PBE) results for an optimized crystal structure of LiFeCoNi.

Its symmetry is F-43m.

Lattice parameters (Å, degrees): 3.968 3.968 3.968 60.00 60.00 60.00
Fractional coordinates of all 4 atoms:
Ni1 0.250 0.250 0.250
Co1 0.750 0.750 0.750
Fe1 0.000 0.000 0.000
Li1 0.500 0.500 0.500

Number 1: energy relative to the elements 83 kJ/mol of atoms, magnetization 10.19 μB per cell. Number 2: energy relative to the elements 45 kJ/mol of atoms, magnetization 4.01 μB per cell. Number 3: energy relative to the elements 44 kJ/mol of atoms, magnetization 4.09 μB per cell. Number 4: energy relative to the elements 17 kJ/mol of atoms, magnetization 5.61 μB per cell. Number 5: energy relative to the elements 48 kJ/mol of atoms, magnetization 11.78 μB per cell. Number 6: energy relative to the elements 9 kJ/mol of atoms, magnetization 5.56 μB per cell. Number 7: energy relative to the elements 17 kJ/mol of atoms, magnetization 3.83 μB per cell. Number 8: energy relative to the elements 96 kJ/mol of atoms, magnetization 7.78 μB per cell. Number 9: energy relative to the elements 29 kJ/mol of atoms, magnetization 3.88 μB per cell. Number 10: energy relative to the elements 23 kJ/mol of atoms, magnetization 3.72 μB per cell. Number 11: energy relative to the elements 12 kJ/mol of atoms, magnetization 5.78 μB per cell. Number 12: energy relative to the elements 14 kJ/mol of atoms, magnetization 5.64 μB per cell. Number 13: energy relative to the elements 17 kJ/mol of atoms, magnetization 3.57 μB per cell. Number 14: energy relative to the elements 14 kJ/mol of atoms, magnetization 4.09 μB per cell. Number 15: energy relative to the elements 13 kJ/mol of atoms, magnetization 15.89 μB per cell. Number 16: energy relative to the elements 14 kJ/mol of atoms, magnetization 5.48 μB per cell. Number 17: energy relative to the elements 144 kJ/mol of atoms, magnetization 6.89 μB per cell. Number 18: energy relative to the elements 53 kJ/mol of atoms, magnetization 3.76 μB per cell. Number 19: energy relative to the elements 4 kJ/mol of atoms, magnetization 4.35 μB per cell.